No. 1
This record from Alexandria describes a geometry-optimized InOsPtSe2 structure. The functional is PBE-GGA.

Values from the calculation:
The crystal system is tetragonal. Its space group is P4/mmm, No. 123. The calculation puts the density of states at the Fermi level at 1.29 states/eV per atom. The value obtained for the size of the total moment is 2.855 μB per cell. Its raw formation energy is 9.5 eV per formula unit. The density is 8.3 g cm⁻³.

Geometry as POSCAR:
```
InOsPtSe2
1.0
5.055 0.000 0.000
0.000 5.122 0.000
0.000 0.000 5.055
In Se Os Pt
1 2 1 1
Direct
0.000 0.000 0.000 In
0.000 0.000 0.500 Se
0.500 0.000 0.000 Se
0.000 0.500 0.000 Os
0.500 0.500 0.500 Pt
```

=====

No. 2
This record from Alexandria describes a geometry-optimized YTeMo2 structure. The functional is PBE-GGA.

Values from the calculation:
The crystal system is monoclinic. Its space group is Pm, No. 6. The calculation puts the density of states at the Fermi level at 0.85 states/eV per atom. The value obtained for the size of the total moment is 0.000 μB per cell. Its raw formation energy is 0.5 eV per formula unit. The density is 8.0 g cm⁻³.

Geometry as POSCAR:
```
YTeMo2
1.0
4.404 0.000 0.000
0.000 3.488 -0.004
0.000 0.862 5.531
Te Y Mo
1 1 2
Direct
0.000 0.324 0.519 Te
0.500 0.762 0.737 Y
0.500 0.326 0.207 Mo
0.000 0.088 0.037 Mo
```

=====

No. 3
This record from Alexandria describes a geometry-optimized YNb structure. The functional is PBE-GGA.

Values from the calculation:
The crystal system is tetragonal. Its space group is P4/mmm, No. 123. The calculation puts the density of states at the Fermi level at 1.10 states/eV per atom. For the formation energy, the calculation gives 0.357 eV per atom. The value obtained for the distance to the lowest polymorph of the same formula is 237 meV/atom. The value obtained for the size of the total moment is 0.000 μB per cell. The density is 5.7 g cm⁻³.

Geometry as POSCAR:
```
YNb
1.0
11.182 0.000 0.000
0.000 11.182 0.000
0.000 0.000 3.363
Nb Y
8 8
Direct
0.758 0.758 0.500 Nb
0.242 0.242 0.500 Nb
0.626 0.374 0.000 Nb
0.758 0.242 0.500 Nb
0.374 0.626 0.000 Nb
0.242 0.758 0.500 Nb
0.374 0.374 0.000 Nb
0.626 0.626 0.000 Nb
0.237 0.000 0.000 Y
0.842 0.500 0.500 Y
0.500 0.842 0.500 Y
0.763 0.000 0.000 Y
0.000 0.237 0.000 Y
0.500 0.158 0.500 Y
0.158 0.500 0.500 Y
0.000 0.763 0.000 Y
```

=====

No. 4
This record from Alexandria describes a geometry-optimized LiAcLaEu structure. The functional is PBE-GGA.

Values from the calculation:
The crystal system is cubic. Its space group is F-43m, No. 216. The calculation puts the density of states at the Fermi level at 1.28 states/eV per atom. For the formation energy, the calculation gives 0.212 eV per atom. The value obtained for the size of the total moment is 7.312 μB per cell. The density is 5.8 g cm⁻³.

Geometry as POSCAR:
```
LiAcLaEu
1.0
-1.398 -2.966 4.973
4.219 -2.957 2.990
1.864 2.008 5.289
La Eu Li Ac
1 1 1 1
Direct
0.250 0.250 0.250 La
0.750 0.750 0.750 Eu
0.000 0.000 0.000 Li
0.500 0.500 0.500 Ac
```

=====

No. 5
This record from Alexandria describes a geometry-optimized YTcHg structure. The functional is PBE-GGA.

Values from the calculation:
The crystal system is cubic. Its space group is F-43m, No. 216. The calculation puts the density of states at the Fermi level at 2.51 states/eV per atom. For the formation energy, the calculation gives 0.939 eV per atom. The value obtained for the distance to the lowest polymorph of the same formula is 786 meV/atom. The value obtained for the size of the total moment is 2.020 μB per cell. The density is 8.2 g cm⁻³.

Geometry as POSCAR:
```
YTcHg
1.0
4.801 0.000 0.000
2.400 4.158 0.000
2.400 1.386 3.920
Tc Y Hg
1 1 1
Direct
0.500 0.500 0.500 Tc
0.250 0.250 0.250 Y
0.000 0.000 0.000 Hg
```

=====

No. 6
This record from Alexandria describes a geometry-optimized Ba2BePdAu6 structure. The functional is PBE-GGA.

Values from the calculation:
The crystal system is monoclinic. Its space group is C2/m, No. 12. The calculation puts the density of states at the Fermi level at 0.28 states/eV per atom. For the formation energy, the calculation gives -0.438 eV per atom. The value obtained for the size of the total moment is 0.000 μB per cell. The density is 10.6 g cm⁻³.

Geometry as POSCAR:
```
Ba2BePdAu6
1.0
-2.698 6.310 1.561
-5.654 -3.105 2.813
-1.922 1.483 6.612
Au Ba Pd Be
6 2 1 1
Direct
0.269 0.269 0.000 Au
0.731 0.731 0.538 Au
0.269 0.269 0.462 Au
0.731 0.731 0.000 Au
0.269 0.731 0.000 Au
0.731 0.269 0.000 Au
0.750 0.250 0.500 Ba
0.250 0.750 0.500 Ba
0.000 0.000 0.000 Pd
0.500 0.500 0.000 Be
```